Record 1
DFT (PBE) results for Sc2HIr after structural relaxation.

abc: 6.9115 6.9115 6.9115
angles: 33.04 33.04 33.04
Fractional positions:
Sc1 0.1003 0.1003 0.1003
Sc2 0.8997 0.8997 0.8997
H1 0.0000 0.0000 0.0000
Ir1 0.5000 0.5000 0.5000

Space group: R-3m
Density of states at the Fermi level (states/eV per cell): 1.7
M_tot (μB/f.u.): 0.00
Uncorrected energy (eV per atom): -6.606

Record 2
DFT (PBE) results for ScHIr3 after structural relaxation.

abc: 2.9101 4.7906 4.7906
angles: 73.84 90.00 90.00
Fractional positions:
Sc1 0.0000 0.5904 0.4096
Ir1 0.0000 0.0682 0.9318
Ir2 0.5000 0.0869 0.4107
Ir3 0.5000 0.5893 0.9131
H1 0.5000 0.2932 0.7068

Space group: Amm2
Density of states at the Fermi level (states/eV per cell): 4.8
M_tot (μB/f.u.): 0.00
ΔE to the lowest computed polymorph (meV/atom): 156.3

Record 3
DFT (PBE) results for Sc2HIr after structural relaxation.

abc: 7.8221 7.8221 7.8221
angles: 22.11 22.11 22.11
Fractional positions:
Sc1 0.1089 0.1089 0.1089
Sc2 0.8911 0.8911 0.8911
Ir1 0.0000 0.0000 0.0000
H1 0.5000 0.5000 0.5000

Space group: R-3m
Density of states at the Fermi level (states/eV per cell): 3.0
M_tot (μB/f.u.): 0.00
Uncorrected energy (eV per atom): -6.264

Record 4
DFT (PBE) results for ScH3Ir after structural relaxation.

abc: 3.5876 3.5876 3.5876
angles: 90.00 90.00 90.00
Fractional positions:
Ir1 0.5000 0.5000 0.5000
H1 0.0000 0.5000 0.0000
H2 0.0000 0.0000 0.5000
H3 0.5000 0.0000 0.0000
Sc1 0.0000 0.0000 0.0000

Space group: Pm-3m
Density of states at the Fermi level (states/eV per cell): 2.0
M_tot (μB/f.u.): 1.15
Uncorrected energy (eV per atom): -4.648

Record 5
DFT (PBE) results for Sc2HIr after structural relaxation.

abc: 6.1551 6.1551 5.4194
angles: 55.40 55.40 90.00
Fractional positions:
H1 0.5000 0.5000 0.0000
H2 0.2500 0.7500 0.5000
Sc1 0.8750 0.7952 0.7500
Sc2 0.3750 0.4548 0.7500
Sc3 0.2048 0.6250 0.2500
Sc4 0.5452 0.1250 0.2500
Ir1 0.7500 0.2500 0.5000
Ir2 0.0000 0.0000 0.0000

Space group: I-42d
Density of states at the Fermi level (states/eV per cell): 4.6
M_tot (μB/f.u.): 0.00
Uncorrected energy (eV per atom): -6.738

Record 6
DFT (PBE) results for ScHIr3 after structural relaxation.

abc: 3.9968 3.9968 3.9968
angles: 90.00 90.00 90.00
Fractional positions:
H1 0.0000 0.0000 0.0000
Ir1 0.5000 0.0000 0.0000
Ir2 0.0000 0.5000 0.0000
Ir3 0.0000 0.0000 0.5000
Sc1 0.5000 0.5000 0.5000

Space group: Pm-3m
Density of states at the Fermi level (states/eV per cell): 3.5
M_tot (μB/f.u.): 0.00
ΔE to the lowest computed polymorph (meV/atom): 39.6

Record 7
DFT (PBE) results for ScHIr3 after structural relaxation.

abc: 7.4359 7.4359 7.4359
angles: 60.00 60.00 60.00
Fractional positions:
Ir1 0.1891 0.1891 0.8109
Ir2 0.8109 0.1891 0.8109
Ir3 0.4391 0.4391 0.0609
Ir4 0.0609 0.4391 0.4391
Ir5 0.8109 0.1891 0.1891
Ir6 0.0609 0.0609 0.4391
Ir7 0.0609 0.4391 0.0609
Ir8 0.8109 0.8109 0.1891
Ir9 0.4391 0.0609 0.0609
Ir10 0.4391 0.0609 0.4391
Ir11 0.1891 0.8109 0.1891
Ir12 0.1891 0.8109 0.8109
Sc1 0.6250 0.6250 0.6250
Sc2 0.6250 0.6250 0.1250
Sc3 0.1250 0.6250 0.6250
Sc4 0.6250 0.1250 0.6250
H1 0.1250 0.1250 0.6250
H2 0.1250 0.6250 0.1250
H3 0.6250 0.1250 0.1250
H4 0.1250 0.1250 0.1250

Space group: Fd-3m
Density of states at the Fermi level (states/eV per cell): 13.2
M_tot (μB/f.u.): 0.00
ΔE to the lowest computed polymorph (meV/atom): 405.4

Record 8
DFT (PBE) results for ScHIr3 after structural relaxation.

abc: 4.7424 4.7424 4.7424
angles: 90.00 90.00 90.00
Fractional positions:
Ir1 0.0000 0.0000 0.5000
Ir2 0.5000 0.0000 0.0000
Ir3 0.0000 0.5000 0.0000
Sc1 0.0000 0.0000 0.0000
H1 0.5000 0.5000 0.5000

Space group: Pm-3m
Density of states at the Fermi level (states/eV per cell): 6.4
M_tot (μB/f.u.): 2.93
ΔE to the lowest computed polymorph (meV/atom): 2745.1

Record 9
DFT (PBE) results for ScHIr3 after structural relaxation.

abc: 15.4955 7.0550 7.0550
angles: 143.40 154.98 25.02
Fractional positions:
Ir1 0.0689 0.0213 0.9787
Ir2 0.4456 0.7550 0.2450
Ir3 0.8806 0.4196 0.5804
Ir4 0.1194 0.5804 0.4196
Ir5 0.5544 0.2450 0.7550
Ir6 0.9311 0.9787 0.0213
H1 0.2755 0.6792 0.3208
H2 0.7245 0.3208 0.6792
Sc1 0.2996 0.1226 0.8774
Sc2 0.7004 0.8774 0.1226

Space group: C2/m
Density of states at the Fermi level (states/eV per cell): 7.2
M_tot (μB/f.u.): 0.00
ΔE to the lowest computed polymorph (meV/atom): 188.8

Record 10
DFT (PBE) results for ScHIr3 after structural relaxation.

abc: 5.6556 5.6586 5.7267
angles: 89.04 119.80 59.95
Fractional positions:
Ir1 0.3628 0.4906 0.7702
Ir2 0.8893 0.9909 0.2811
Ir3 0.3698 0.4901 0.2655
Ir4 0.3624 0.9910 0.2821
Ir5 0.8785 0.4906 0.7693
Ir6 0.3585 0.9927 0.7458
Sc1 0.8700 0.9851 0.7624
Sc2 0.8699 0.4995 0.2762
H1 0.8179 0.2961 0.9673
H2 0.5554 0.9565 0.1086

Space group: P1
Density of states at the Fermi level (states/eV per cell): 8.1
M_tot (μB/f.u.): 0.00
ΔE to the lowest computed polymorph (meV/atom): 23.9

Record 11
DFT (PBE) results for ScH6Ir after structural relaxation.

abc: 4.2306 4.2305 4.5151
angles: 62.06 62.06 60.00
Fractional positions:
H1 0.5458 0.1020 0.2501
H2 0.4542 0.8980 0.7499
H3 0.8980 0.4542 0.7499
H4 0.1020 0.5458 0.2501
H5 0.1020 0.1020 0.2501
H6 0.8980 0.8980 0.7499
Sc1 0.5000 0.5000 0.5000
Ir1 0.0000 0.0000 0.0000

Space group: R-3m
M_tot (μB/f.u.): 0.00
Uncorrected energy (eV per atom): -4.701

Record 12
DFT (PBE) results for ScHIr3 after structural relaxation.

abc: 8.8016 8.8016 4.7148
angles: 90.00 90.00 144.99
Fractional positions:
Sc1 0.1417 0.8583 0.2500
Sc2 0.8583 0.1417 0.7500
Ir1 0.0255 0.4675 0.2500
Ir2 0.9745 0.5325 0.7500
Ir3 0.5325 0.9745 0.2500
Ir4 0.4675 0.0255 0.7500
Ir5 0.0000 0.0000 0.5000
Ir6 0.0000 0.0000 0.0000
H1 0.6529 0.3471 0.7500
H2 0.3471 0.6529 0.2500

Space group: Cmcm
Density of states at the Fermi level (states/eV per cell): 9.6
M_tot (μB/f.u.): 0.26
ΔE to the lowest computed polymorph (meV/atom): 955.5

Record 13
DFT (PBE) results for ScHIr3 after structural relaxation.

abc: 5.6481 5.7277 5.7278
angles: 120.00 120.47 59.53
Fractional positions:
Sc1 0.2631 0.6382 0.3695
Sc2 0.7631 0.1382 0.8695
Ir1 0.7641 0.6271 0.8482
Ir2 0.2641 0.1271 0.3482
Ir3 0.7641 0.1595 0.3806
Ir4 0.2641 0.1271 0.8806
Ir5 0.7641 0.6271 0.3806
Ir6 0.2641 0.6595 0.8806
H1 0.8087 0.7897 0.2180
H2 0.3087 0.2897 0.7180

Space group: R3m
Density of states at the Fermi level (states/eV per cell): 6.1
M_tot (μB/f.u.): 0.00
ΔE to the lowest computed polymorph (meV/atom): 18.7

Record 14
DFT (PBE) results for ScHIr3 after structural relaxation.

abc: 5.6648 5.6064 5.6648
angles: 119.68 120.63 60.32
Fractional positions:
Ir1 0.1138 0.9606 0.3490
Ir2 0.1095 0.4684 0.3441
Ir3 0.6183 0.4684 0.8529
Ir4 0.6134 0.9606 0.8487
Ir5 0.6157 0.9611 0.3468
Ir6 0.1075 0.4688 0.8549
Sc1 0.6042 0.4733 0.3582
Sc2 0.1221 0.9555 0.8404
H1 0.8633 0.1957 0.0989
H2 0.3383 0.2707 0.6238

Space group: Cm
Density of states at the Fermi level (states/eV per cell): 6.8
M_tot (μB/f.u.): 0.00
ΔE to the lowest computed polymorph (meV/atom): 9.6

Record 15
DFT (PBE) results for ScHIr3 after structural relaxation.

abc: 4.4173 4.4173 7.9905
angles: 90.00 90.00 120.00
Fractional positions:
H1 0.0000 0.0000 0.0000
H2 0.0000 0.0000 0.5000
Sc1 0.6667 0.3333 0.2500
Sc2 0.3333 0.6667 0.7500
Ir1 0.6667 0.3333 0.9178
Ir2 0.3333 0.6667 0.0822
Ir3 0.0000 0.0000 0.7500
Ir4 0.6667 0.3333 0.5822
Ir5 0.3333 0.6667 0.4178
Ir6 0.0000 0.0000 0.2500

Space group: P6_3/mmc
Density of states at the Fermi level (states/eV per cell): 7.8
M_tot (μB/f.u.): 0.00
ΔE to the lowest computed polymorph (meV/atom): 651.8

Record 16
DFT (PBE) results for Sc12H5Ir3 after structural relaxation.

abc: 12.1267 12.1267 12.1267
angles: 109.47 109.47 109.47
Fractional positions:
Sc1 0.9039 0.8093 0.5245
Sc2 0.1205 0.7152 0.5245
Sc3 0.7152 0.5947 0.1907
Sc4 0.3093 0.5245 0.4039
Sc5 0.5961 0.6205 0.4053
Sc6 0.9755 0.3795 0.2848
Sc7 0.7152 0.1205 0.0245
Sc8 0.4053 0.2848 0.3093
Sc9 0.5245 0.3093 0.9039
Sc10 0.4039 0.3795 0.5947
Sc11 0.0245 0.6205 0.7152
Sc12 0.5245 0.2152 0.1205
Sc13 0.5947 0.7152 0.6907
Sc14 0.3795 0.9755 0.7848
Sc15 0.4053 0.1205 0.5961
Sc16 0.2848 0.4053 0.8093
Sc17 0.0245 0.4039 0.8093
Sc18 0.4755 0.7848 0.8795
Sc19 0.4755 0.6907 0.0961
Sc20 0.2152 0.6907 0.0947
Sc21 0.8795 0.2848 0.4755
Sc22 0.0947 0.9039 0.3795
Sc23 0.2848 0.8795 0.9755
Sc24 0.6205 0.5961 0.9053
Sc25 0.1907 0.0961 0.9755
Sc26 0.3093 0.7848 0.4053
Sc27 0.2152 0.5245 0.6205
Sc28 0.8093 0.9053 0.2848
Sc29 0.8093 0.9039 0.0245
Sc30 0.8795 0.5947 0.9039
Sc31 0.1205 0.4053 0.0961
Sc32 0.6205 0.0245 0.2152
Sc33 0.0961 0.1907 0.4755
Sc34 0.5947 0.8795 0.4039
Sc35 0.9053 0.0961 0.6205
Sc36 0.9053 0.8093 0.7848
Sc37 0.4039 0.0245 0.3093
Sc38 0.3795 0.4039 0.0947
Sc39 0.1907 0.0947 0.7152
Sc40 0.5961 0.9755 0.6907
Sc41 0.0947 0.1907 0.2152
Sc42 0.7848 0.4755 0.3795
Sc43 0.6907 0.4755 0.5961
Sc44 0.6907 0.2152 0.5947
Sc45 0.9755 0.5961 0.1907
Sc46 0.9039 0.0947 0.8795
Sc47 0.7848 0.3093 0.9053
Sc48 0.0961 0.9053 0.1205
H1 0.6250 0.8750 0.2500
H2 0.7500 0.1250 0.8750
H3 0.5000 0.5000 0.0000
H4 0.8750 0.2500 0.6250
H5 0.5000 0.0000 0.5000
H6 0.8750 0.6250 0.7500
H7 0.0000 0.0000 0.5000
H8 0.5000 0.0000 0.0000
H9 0.1250 0.3750 0.2500
H10 0.0000 0.0000 0.0000
H11 0.1250 0.7500 0.3750
H12 0.2500 0.3750 0.6250
H13 0.2500 0.8750 0.1250
H14 0.0000 0.5000 0.0000
H15 0.3750 0.2500 0.1250
H16 0.3750 0.1250 0.7500
H17 0.6250 0.7500 0.8750
H18 0.7500 0.6250 0.3750
H19 0.0000 0.5000 0.5000
H20 0.5000 0.5000 0.5000
Ir1 0.1250 0.8750 0.7500
Ir2 0.2500 0.6250 0.8750
Ir3 0.3750 0.7500 0.6250
Ir4 0.7500 0.8750 0.6250
Ir5 0.8750 0.7500 0.1250
Ir6 0.6250 0.3750 0.7500
Ir7 0.7500 0.3750 0.1250
Ir8 0.6250 0.2500 0.3750
Ir9 0.8750 0.1250 0.2500
Ir10 0.1250 0.2500 0.8750
Ir11 0.2500 0.1250 0.3750
Ir12 0.3750 0.6250 0.2500

Space group: Ia-3d
Density of states at the Fermi level (states/eV per cell): 70.9
M_tot (μB/f.u.): 0.00
Uncorrected energy (eV per atom): -6.470

Record 17
DFT (PBE) results for ScHIr3 after structural relaxation.

abc: 5.7050 5.6614 5.6562
angles: 120.00 90.69 119.80
Fractional positions:
Ir1 0.1003 0.5635 0.3208
Ir2 0.6031 0.5405 0.8118
Ir3 0.0715 0.5402 0.8128
Ir4 0.0996 0.0525 0.3203
Ir5 0.5914 0.5532 0.3188
Ir6 0.6026 0.0689 0.8117
H1 0.4368 0.7462 0.8617
H2 0.9131 0.1206 0.1322
Sc1 0.5866 0.0503 0.3180
Sc2 0.1011 0.0534 0.8097

Space group: P1
Density of states at the Fermi level (states/eV per cell): 6.8
M_tot (μB/f.u.): 0.00
ΔE to the lowest computed polymorph (meV/atom): 24.6

Record 18
DFT (PBE) results for ScHIr3 after structural relaxation.

abc: 7.3641 7.3641 7.3641
angles: 38.26 38.26 38.26
Fractional positions:
Sc1 0.6649 0.6649 0.6649
Sc2 0.3351 0.3351 0.3351
Ir1 0.7717 0.4484 0.1070
Ir2 0.4484 0.1070 0.7717
Ir3 0.8930 0.2283 0.5516
Ir4 0.1070 0.7717 0.4484
Ir5 0.2283 0.5516 0.8930
Ir6 0.5516 0.8930 0.2283
H1 0.9383 0.9383 0.9383
H2 0.0617 0.0617 0.0617

Space group: R-3
Density of states at the Fermi level (states/eV per cell): 7.9
M_tot (μB/f.u.): 0.00
ΔE to the lowest computed polymorph (meV/atom): 387.6

Record 19
DFT (PBE) results for Sc2H2Ir after structural relaxation.

abc: 3.2006 3.2006 6.2981
angles: 75.28 75.28 90.00
Fractional positions:
Ir1 0.0000 0.0000 0.0000
Sc1 0.3589 0.3589 0.2821
Sc2 0.6411 0.6411 0.7179
H1 0.2500 0.7500 0.5000
H2 0.7500 0.2500 0.5000

Space group: I4/mmm
Density of states at the Fermi level (states/eV per cell): 1.2
M_tot (μB/f.u.): 0.00
ΔE to the lowest computed polymorph (meV/atom): 0.0

Record 20
DFT (PBE) results for ScHIr3 after structural relaxation.

abc: 5.4632 5.4632 5.4632
angles: 56.29 56.29 56.29
Fractional positions:
Ir1 0.8225 0.3303 0.8225
Ir2 0.3303 0.8225 0.8225
Ir3 0.8225 0.8225 0.3303
Sc1 0.8268 0.8268 0.8268
H1 0.0728 0.0728 0.0728

Space group: R3m
Density of states at the Fermi level (states/eV per cell): 4.2
M_tot (μB/f.u.): 1.78
ΔE to the lowest computed polymorph (meV/atom): 1006.6